Here is a relaxed Li3Co2Si2O8 crystal from the Alexandria database. Energies are from PBE with a Hubbard U.

a b c (Å): 6.3712 5.0526 10.7690
angles (deg): 89.76 90.00 90.00
Last column: nearest neighbours and their distance in Å.
Atoms (fractional coordinates):
O 0.2671 0.4137 0.1716  1 Si 1.66, 1 Co 1.84
O 0.0456 0.3581 0.8844  1 Si 1.62
O 0.7405 0.9095 0.3321  1 Si 1.64
O 0.6981 0.3460 0.1876  1 Si 1.66, 1 Co 1.85
O 0.0229 0.8113 0.0949  1 Si 1.63
O 0.2595 0.9095 0.8321  1 Si 1.64
O 0.4718 0.3320 0.9169  1 Si 1.70, 1 Co 1.90
O 0.7603 0.8442 0.8144  1 Si 1.65
O 0.9544 0.3581 0.3844  1 Si 1.62
O 0.4528 0.8619 0.0954  1 Si 1.70
O 0.3019 0.3460 0.6876  1 Si 1.66, 1 Co 1.85
O 0.2397 0.8442 0.3144  1 Si 1.65
O 0.5282 0.3320 0.4169  1 Si 1.70, 1 Co 1.90
O 0.9771 0.8113 0.5949  1 Si 1.63
O 0.5472 0.8619 0.5954  1 Si 1.70
O 0.7329 0.4137 0.6716  1 Si 1.66, 1 Co 1.84
Li 0.5024 0.7442 0.9098  4 O 1.95-2.11
Li 0.7504 0.7405 0.1685  4 O 1.94-2.14
Li 0.4976 0.7442 0.4098  4 O 1.95-2.11
Li 0.7728 0.2373 0.8318  3 O 1.93-2.00
Li 0.2496 0.7405 0.6685  4 O 1.94-2.14
Li 0.2272 0.2373 0.3318  3 O 1.93-2.00
Si 0.2382 0.7399 0.1690  4 O 1.63-1.70
Si 0.2621 0.2342 0.8312  4 O 1.62-1.70
Si 0.7618 0.7399 0.6690  4 O 1.63-1.70
Si 0.7379 0.2342 0.3312  4 O 1.62-1.70
Co 0.9852 0.7387 0.4172  4 O 1.95-2.03
Co 0.0148 0.7387 0.9172  4 O 1.95-2.03
Co 0.4769 0.2393 0.0879  4 O 1.84-1.91
Co 0.5231 0.2393 0.5879  4 O 1.84-1.91

Computed properties:
Total magnetization   7.0 μB per formula unit
Distance to the lowest polymorph of the same formula   11 meV/atom
Calculated volume   347 Å³ per cell